(1)
VASP calculation (PBEsol) on a relaxed structure of BaCrOs2.

Output
Energy of formation ... 6.2 eV per formula unit
Energy relative to the lowest polymorph listed for this composition ... 0 meV/atom
Density ... 13.237 g cm⁻³

abc: 6.5878 6.5878 6.5878
angles: 90.00 90.00 90.00
Space group Fm-3m (No. 225)
Asymmetric unit:
Ba 0.0000 0.0000 0.0000
Cr 0.0000 0.0000 0.5000
Os 0.2500 0.2500 0.2500



(2)
VASP calculation (PBEsol) on a relaxed structure of Ba2CrP.

Output
Energy of formation ... 0.4 eV per formula unit
Density ... 4.927 g cm⁻³

abc: 7.5047 7.5257 4.2682
angles: 90.00 90.00 90.00
Space group Cmmm (No. 65)
Asymmetric unit:
Ba 0.2500 0.2500 0.0000
Cr 0.0000 0.0000 0.5000
P 0.0000 0.5000 0.5000



(3)
VASP calculation (PBEsol) on a relaxed structure of BaCrP2.

Output
Energy of formation ... -1.3 eV per formula unit
Energy relative to the lowest polymorph listed for this composition ... 0 meV/atom
Density ... 4.401 g cm⁻³

abc: 4.2048 6.3272 7.1269
angles: 90.00 90.00 90.00
Space group Immm (No. 71)
Asymmetric unit:
Ba 0.0000 0.0000 0.0000
Cr 0.0000 0.0000 0.5000
P 0.0000 0.5000 0.1586



(4)
VASP calculation (PBEsol) on a relaxed structure of BaCrP2.

Output
Energy of formation ... 2.1 eV per formula unit
Energy relative to the lowest polymorph listed for this composition ... 846 meV/atom
Density ... 5.030 g cm⁻³

abc: 6.9229 6.9229 6.9229
angles: 90.00 90.00 90.00
Space group F-43m (No. 216)
Asymmetric unit:
Ba 0.0000 0.0000 0.0000
Cr 0.2500 0.2500 0.2500
P 0.0000 0.0000 0.5000
P 0.2500 0.2500 0.7500



(5)
VASP calculation (PBEsol) on a relaxed structure of Ba2CrP.

Output
Energy of formation ... -0.4 eV per formula unit
Density ... 5.002 g cm⁻³

abc: 3.9859 4.9151 12.1198
angles: 90.00 90.00 90.00
Space group Imm2 (No. 44)
Asymmetric unit:
Ba 0.0000 0.0000 0.0000
Ba 0.0000 0.5000 0.2146
Cr 0.0000 0.5000 0.8033
P 0.0000 0.0000 0.4120



(6)
VASP calculation (PBEsol) on a relaxed structure of Ba2CrPSe.

Output
Density ... 4.511 g cm⁻³
Raw formation energy ... -0.073 eV/atom

abc: 6.0232 6.0232 4.4303
angles: 90.00 90.00 90.00
Space group P4/mmm (No. 123)
Asymmetric unit:
Ba 0.0000 0.5000 0.0000
Cr 0.0000 0.0000 0.0000
P 0.5000 0.5000 0.5000
Se 0.0000 0.0000 0.5000



(7)
VASP calculation (PBEsol) on a relaxed structure of BaCrPb2.

Output
Energy of formation ... 0.9 eV per formula unit
Density ... 8.615 g cm⁻³

abc: 4.8621 4.8621 4.9226
angles: 90.00 90.00 90.00
Space group P4/mmm (No. 123)
Asymmetric unit:
Ba 0.0000 0.0000 0.0000
Cr 0.5000 0.5000 0.0000
Pb 0.0000 0.5000 0.5000



(8)
VASP calculation (PBEsol) on a relaxed structure of BaCrPb2.

Output
Energy of formation ... 0.2 eV per formula unit
Density ... 8.223 g cm⁻³

abc: 8.3144 4.7417 6.7515
angles: 90.00 113.65 90.00
Space group C2/m (No. 12)
Asymmetric unit:
Ba 0.0000 0.0000 0.0000
Cr 0.0000 0.5000 0.5000
Pb 0.2176 0.0000 0.6507



(9)
VASP calculation (PBEsol) on a relaxed structure of BaCrPb2.

Output
Energy of formation ... 1.1 eV per formula unit
Density ... 8.396 g cm⁻³

abc: 3.9057 3.9057 7.8271
angles: 90.00 90.00 90.00
Space group P4mm (No. 99)
Asymmetric unit:
Ba 0.0000 0.0000 0.0000
Cr 0.5000 0.5000 0.3139
Pb 0.0000 0.0000 0.4533
Pb 0.5000 0.5000 0.6912



(10)
VASP calculation (PBEsol) on a relaxed structure of BaCr3Pt.

Output
Energy of formation ... 4.8 eV per formula unit
Density ... 6.610 g cm⁻³

abc: 4.9691 4.9691 4.9691
angles: 90.00 90.00 90.00
Space group Pm-3m (No. 221)
Asymmetric unit:
Ba 0.0000 0.0000 0.0000
Cr 0.0000 0.5000 0.5000
Pt 0.5000 0.5000 0.5000



(11)
VASP calculation (PBEsol) on a relaxed structure of BaCrPt2.

Output
Energy of formation ... 1.0 eV per formula unit
Energy relative to the lowest polymorph listed for this composition ... 0 meV/atom
Density ... 11.735 g cm⁻³

abc: 5.1621 5.1621 3.0771
angles: 90.00 90.00 90.00
Space group P4/mmm (No. 123)
Asymmetric unit:
Ba 0.0000 0.0000 0.0000
Cr 0.5000 0.5000 0.0000
Pt 0.0000 0.5000 0.5000



(12)
VASP calculation (PBEsol) on a relaxed structure of Ba2CrPt.

Output
Energy of formation ... 1.4 eV per formula unit
Energy relative to the lowest polymorph listed for this composition ... 214 meV/atom
Density ... 8.262 g cm⁻³

abc: 7.4854 7.4854 7.4854
angles: 90.00 90.00 90.00
Space group F-43m (No. 216)
Asymmetric unit:
Ba 0.0000 0.0000 0.0000
Ba 0.2500 0.2500 0.2500
Cr 0.2500 0.2500 0.7500
Pt 0.0000 0.0000 0.5000



(13)
VASP calculation (PBEsol) on a relaxed structure of Ba2CrPt.

Output
Energy of formation ... 1.1 eV per formula unit
Energy relative to the lowest polymorph listed for this composition ... 136 meV/atom
Density ... 7.428 g cm⁻³

abc: 5.3746 5.3746 4.0376
angles: 90.00 90.00 90.00
Space group P4/mmm (No. 123)
Asymmetric unit:
Ba 0.0000 0.5000 0.0000
Cr 0.0000 0.0000 0.5000
Pt 0.5000 0.5000 0.5000



(14)
VASP calculation (PBEsol) on a relaxed structure of BaCr2Pt.

Output
Energy of formation ... 1.6 eV per formula unit
Density ... 9.487 g cm⁻³

abc: 3.1422 3.1422 7.7364
angles: 90.00 90.00 90.00
Space group P4mm (No. 99)
Asymmetric unit:
Ba 0.0000 0.0000 0.0000
Cr 0.0000 0.0000 0.4989
Cr 0.5000 0.5000 0.3511
Pt 0.5000 0.5000 0.6957



(15)
VASP calculation (PBEsol) on a relaxed structure of Ba2CrPt.

Output
Energy of formation ... 0.5 eV per formula unit
Energy relative to the lowest polymorph listed for this composition ... 0 meV/atom
Density ... 6.122 g cm⁻³

abc: 4.3480 4.6264 14.0710
angles: 90.00 90.00 90.00
Space group Imm2 (No. 44)
Asymmetric unit:
Ba 0.0000 0.0000 0.0000
Ba 0.0000 0.5000 0.2447
Cr 0.0000 0.5000 0.8238
Pt 0.0000 0.0000 0.4080



(16)
VASP calculation (PBEsol) on a relaxed structure of BaCrPt2.

Output
Energy of formation ... 1.3 eV per formula unit
Energy relative to the lowest polymorph listed for this composition ... 73 meV/atom
Density ... 12.035 g cm⁻³

abc: 4.3078 4.3078 8.6168
angles: 90.00 90.00 90.00
Space group I-4m2 (No. 119)
Asymmetric unit:
Ba 0.0000 0.0000 0.0000
Cr 0.0000 0.5000 0.2500
Pt 0.0000 0.0000 0.5000
Pt 0.0000 0.5000 0.7500



(17)
VASP calculation (PBEsol) on a relaxed structure of BaCrRe.

Output
Energy of formation ... 2.5 eV per formula unit
Density ... 9.934 g cm⁻³

abc: 3.1427 3.1427 12.7116
angles: 90.00 90.00 90.00
Space group I4mm (No. 107)
Asymmetric unit:
Ba 0.0000 0.0000 0.0000
Cr 0.0000 0.0000 0.2869
Re 0.0000 0.0000 0.7100



(18)
VASP calculation (PBEsol) on a relaxed structure of BaCr2Rh.

Output
Energy of formation ... 4.4 eV per formula unit
Energy relative to the lowest polymorph listed for this composition ... 379 meV/atom
Density ... 7.025 g cm⁻³

abc: 4.2898 4.2898 4.4215
angles: 90.00 90.00 90.00
Space group P4/mmm (No. 123)
Asymmetric unit:
Ba 0.0000 0.0000 0.0000
Cr 0.0000 0.5000 0.5000
Rh 0.5000 0.5000 0.0000



(19)
VASP calculation (PBEsol) on a relaxed structure of Ba2CrRh.

Output
Energy of formation ... 1.7 eV per formula unit
Energy relative to the lowest polymorph listed for this composition ... 0 meV/atom
Density ... 6.066 g cm⁻³

abc: 3.5666 3.5666 9.2443
angles: 90.00 90.00 90.00
Space group P4mm (No. 99)
Asymmetric unit:
Ba 0.0000 0.0000 0.0000
Ba 0.5000 0.5000 0.4151
Cr 0.0000 0.0000 0.6767
Rh 0.5000 0.5000 0.7386



(20)
VASP calculation (PBEsol) on a relaxed structure of Ba2Cr2Rh.

Output
Energy of formation ... 4.8 eV per formula unit
Density ... 6.128 g cm⁻³

abc: 6.2348 6.2348 6.7138
angles: 90.00 90.00 90.00
Space group I4/mmm (No. 139)
Asymmetric unit:
Ba 0.0000 0.5000 0.2500
Cr 0.0000 0.0000 0.1327
Rh 0.0000 0.0000 0.5000



(21)
VASP calculation (PBEsol) on a relaxed structure of Ba2CrRh.

Output
Energy of formation ... 2.3 eV per formula unit
Energy relative to the lowest polymorph listed for this composition ... 154 meV/atom
Density ... 6.294 g cm⁻³

abc: 7.6817 7.6817 7.6817
angles: 90.00 90.00 90.00
Space group Fm-3m (No. 225)
Asymmetric unit:
Ba 0.2500 0.2500 0.2500
Cr 0.0000 0.0000 0.0000
Rh 0.0000 0.0000 0.5000



(22)
VASP calculation (PBEsol) on a relaxed structure of BaCr2Rh.

Output
Energy of formation ... 4.3 eV per formula unit
Energy relative to the lowest polymorph listed for this composition ... 357 meV/atom
Density ... 7.170 g cm⁻³

abc: 4.3895 4.3895 8.2748
angles: 90.00 90.00 90.00
Space group I4/mmm (No. 139)
Asymmetric unit:
Ba 0.0000 0.0000 0.0000
Cr 0.0000 0.5000 0.2500
Rh 0.0000 0.0000 0.5000



(23)
VASP calculation (PBEsol) on a relaxed structure of BaCr2Rh.

Output
Energy of formation ... 2.8 eV per formula unit
Energy relative to the lowest polymorph listed for this composition ... 0 meV/atom
Density ... 7.181 g cm⁻³

abc: 2.9373 4.2399 6.4740
angles: 90.00 99.14 90.00
Space group P2/m (No. 10)
Asymmetric unit:
Ba 0.0000 0.0000 0.0000
Cr 0.4260 0.5000 0.6323
Rh 0.0000 0.0000 0.5000



(24)
VASP calculation (PBEsol) on a relaxed structure of BaCrRh3.

Output
Energy of formation ... 1.9 eV per formula unit
Density ... 8.686 g cm⁻³

abc: 4.5663 4.5663 4.5663
angles: 90.00 90.00 90.00
Space group Pm-3m (No. 221)
Asymmetric unit:
Ba 0.0000 0.0000 0.0000
Cr 0.5000 0.5000 0.5000
Rh 0.0000 0.5000 0.5000



(25)
VASP calculation (PBEsol) on a relaxed structure of BaCrSbRh2.

Output
Density ... 5.782 g cm⁻³
Raw formation energy ... 2.005 eV/atom

abc: 4.9377 4.9377 6.0888
angles: 90.00 90.00 90.00
Space group P4/mmm (No. 123)
Asymmetric unit:
Ba 0.0000 0.0000 0.0000
Cr 0.5000 0.5000 0.5000
Sb 0.0000 0.0000 0.5000
Rh 0.0000 0.5000 0.0000



(26)
VASP calculation (PBEsol) on a relaxed structure of BaCrRu2.

Output
Energy of formation ... 3.3 eV per formula unit
Energy relative to the lowest polymorph listed for this composition ... 0 meV/atom
Density ... 8.068 g cm⁻³

abc: 2.9677 4.1880 6.5486
angles: 90.00 98.13 90.00
Space group Pm (No. 6)
Asymmetric unit:
Ba 0.0000 0.0000 0.0000
Cr 0.8061 0.5000 0.3802
Ru 0.3577 0.0000 0.4919
Ru 0.4058 0.5000 0.6810



(27)
VASP calculation (PBEsol) on a relaxed structure of BaCrRu2.

Output
Energy of formation ... 4.4 eV per formula unit
Energy relative to the lowest polymorph listed for this composition ... 258 meV/atom
Density ... 8.533 g cm⁻³

abc: 2.9732 5.1262 9.9963
angles: 90.00 90.00 90.00
Space group Imm2 (No. 44)
Asymmetric unit:
Ba 0.0000 0.0000 0.0000
Cr 0.0000 0.5000 0.7916
Ru 0.0000 0.0000 0.5117
Ru 0.0000 0.5000 0.2180



(28)
VASP calculation (PBEsol) on a relaxed structure of BaCrRu.

Output
Energy of formation ... 3.7 eV per formula unit
Density ... 6.680 g cm⁻³

abc: 6.6095 6.6095 6.6095
angles: 90.00 90.00 90.00
Space group F-43m (No. 216)
Asymmetric unit:
Ba 0.0000 0.0000 0.0000
Cr 0.0000 0.0000 0.5000
Ru 0.2500 0.2500 0.2500



(29)
VASP calculation (PBEsol) on a relaxed structure of Ba2CrRu.

Output
Energy of formation ... 4.7 eV per formula unit
Energy relative to the lowest polymorph listed for this composition ... 154 meV/atom
Density ... 6.146 g cm⁻³

abc: 3.6464 3.6464 30.1081
angles: 90.00 90.00 120.00
Space group R-3m (No. 166, hexagonal axes)
Asymmetric unit:
Ba 0.0000 0.0000 0.2387
Cr 0.0000 0.0000 0.0000
Ru 0.0000 0.0000 0.5000



(30)
VASP calculation (PBEsol) on a relaxed structure of Ba2CrRu.

Output
Energy of formation ... 4.1 eV per formula unit
Energy relative to the lowest polymorph listed for this composition ... 0 meV/atom
Density ... 6.969 g cm⁻³

abc: 7.4147 7.4147 7.4147
angles: 90.00 90.00 90.00
Space group F-43m (No. 216)
Asymmetric unit:
Ba 0.0000 0.0000 0.0000
Ba 0.2500 0.2500 0.2500
Cr 0.2500 0.2500 0.7500
Ru 0.0000 0.0000 0.5000